Here is Er2FeNi after structural relaxation from Alexandria. Energies are from GGA-PBE.

Structure (CIF):
```
data_Er2FeNi
_chemical_formula_sum 'Er2 Fe1 Ni1'
_symmetry_space_group_name_H-M 'P 4/m m m'
_symmetry_Int_Tables_number 123
_symmetry_space_group_name_Hall '-P 4 2'
_cell_length_a 3.3271
_cell_length_b 3.3271
_cell_length_c 6.5696
_cell_angle_alpha 90.00
_cell_angle_beta 90.00
_cell_angle_gamma 90.00
loop_
_atom_site_label
_atom_site_fract_x
_atom_site_fract_y
_atom_site_fract_z
_atom_site_occupancy
Er1 0.0000 0.0000 0.2444 1
Fe1 0.5000 0.5000 0.0000 1
Ni1 0.5000 0.5000 0.5000 1
```

Output
D(E_F) in states/eV/cell: 2.32
Excess energy over the best structure of this formula in the dataset in meV/atom: 0
Crystal system: tetragonal
Calculated density in Mg/m³: 10.25
E in eV for the cell shown: -24.0
Formation energy from the elements in eV per atom: -0.1615